A relaxed structure of LaNiCl2. Source: the Alexandria database, functional PBE.

formation energy from raw total energies	-302	kJ/mol of formula units
E	-17.54	eV per formula unit
offset from the most stable computed form	389	meV/atom
total moment	0.08	μB/atom

Structure (CIF):
```
data_LaNiCl2
_chemical_formula_sum 'La4 Ni4 Cl8'
_cell_length_a 6.956
_cell_length_b 6.956
_cell_length_c 6.956
_cell_angle_alpha 90.00
_cell_angle_beta 90.00
_cell_angle_gamma 90.00
_symmetry_space_group_name_H-M 'P 1'
_symmetry_Int_Tables_number 1
loop_
_symmetry_equiv_pos_as_xyz
'x,y,z'
loop_
_atom_site_label
_atom_site_type_symbol
_atom_site_fract_x
_atom_site_fract_y
_atom_site_fract_z
La1 La 0.000 0.000 0.000
La2 La 0.000 0.500 0.500
La3 La 0.500 0.000 0.500
La4 La 0.500 0.500 0.000
Ni1 Ni 0.250 0.250 0.750
Ni2 Ni 0.250 0.750 0.250
Ni3 Ni 0.750 0.250 0.250
Ni4 Ni 0.750 0.750 0.750
Cl1 Cl 0.000 0.000 0.500
Cl2 Cl 0.000 0.500 0.000
Cl3 Cl 0.250 0.250 0.250
Cl4 Cl 0.250 0.750 0.750
Cl5 Cl 0.500 0.000 0.000
Cl6 Cl 0.500 0.500 0.500
Cl7 Cl 0.750 0.250 0.750
Cl8 Cl 0.750 0.750 0.250
```